No. 1
A relaxed Li2ZnGeF6 crystal. Source: Alexandria via LeMat-Bulk, functional PBE.

a = 5.681 Å, b = 5.681 Å, c = 5.681 Å
α = 56.03°, β = 56.03°, γ = 56.03°
Fractional positions:
Li: 0.000 0.000 0.000
Li: 0.498 0.498 0.498
Zn: 0.205 0.205 0.205
Ge: 0.710 0.710 0.710
F: 0.146 0.796 0.378
F: 0.289 0.605 0.917
F: 0.378 0.146 0.796
F: 0.605 0.917 0.289
F: 0.796 0.378 0.146
F: 0.917 0.289 0.605

## Properties
raw formation energy	-24.55	eV/f.u.
Fermi-level density of states	0.00	states/eV per cell
electronic total energy	-4.5501	eV/atom
spin magnetization	0.00	μB/f.u.



No. 2
A relaxed ThTaN3 crystal. Source: Alexandria via LeMat-Bulk, functional PBE.

a = 7.002 Å, b = 7.002 Å, c = 6.097 Å
α = 90.00°, β = 90.00°, γ = 149.57°
Fractional positions:
Th: 0.176 0.824 0.750
Th: 0.824 0.176 0.250
Ta: 0.431 0.569 0.750
Ta: 0.569 0.431 0.250
N: 0.007 0.993 0.250
N: 0.336 0.664 0.513
N: 0.336 0.664 0.987
N: 0.664 0.336 0.013
N: 0.664 0.336 0.487
N: 0.993 0.007 0.750

## Properties
raw formation energy	-7.00	eV/f.u.
electronic total energy	-10.2501	eV/atom
spin magnetization	0.00	μB/f.u.



No. 3
A relaxed Ag2HgW crystal. Source: Alexandria via LeMat-Bulk, functional PBE.

a = 5.872 Å, b = 9.124 Å, c = 2.728 Å
α = 90.00°, β = 90.00°, γ = 90.00°
Fractional positions:
Ag: 0.250 0.250 0.000
Ag: 0.250 0.750 0.000
Ag: 0.750 0.250 0.000
Ag: 0.750 0.750 0.000
Hg: 0.000 0.000 0.500
Hg: 0.500 0.500 0.500
W: 0.000 0.500 0.500
W: 0.500 0.000 0.500

## Properties
DFT formation energy	0.676	eV per atom
Fermi-level density of states	6.58	states/eV per cell
electronic total energy	-4.0633	eV/atom
spin magnetization	0.00	μB/f.u.



No. 4
A relaxed NaTeS2 crystal. Source: Alexandria via LeMat-Bulk, functional PBE.

a = 4.165 Å, b = 4.165 Å, c = 19.967 Å
α = 90.00°, β = 90.00°, γ = 120.00°
Fractional positions:
Na: 0.000 0.000 0.000
Na: 0.333 0.667 0.667
Na: 0.667 0.333 0.333
Te: 0.000 0.000 0.172
Te: 0.333 0.667 0.839
Te: 0.667 0.333 0.506
S: 0.000 0.000 0.577
S: 0.000 0.000 0.769
S: 0.333 0.667 0.244
S: 0.333 0.667 0.436
S: 0.667 0.333 0.103
S: 0.667 0.333 0.910

## Properties
raw formation energy	-1.03	eV/f.u.
Fermi-level density of states	6.13	states/eV per cell
electronic total energy	-3.4365	eV/atom
spin magnetization	0.00	μB/f.u.



No. 5
A relaxed RbPuSn2 crystal. Source: Alexandria via LeMat-Bulk, functional PBE.

a = 5.223 Å, b = 5.223 Å, c = 20.450 Å
α = 90.00°, β = 90.00°, γ = 120.00°
Fractional positions:
Rb: 0.000 0.000 0.000
Rb: 0.333 0.667 0.667
Rb: 0.667 0.333 0.333
Pu: 0.000 0.000 0.500
Pu: 0.333 0.667 0.167
Pu: 0.667 0.333 0.833
Sn: 0.000 0.000 0.208
Sn: 0.000 0.000 0.792
Sn: 0.333 0.667 0.458
Sn: 0.333 0.667 0.875
Sn: 0.667 0.333 0.125
Sn: 0.667 0.333 0.542

## Properties
DFT formation energy	0.016	eV per atom
Fermi-level density of states	41.52	states/eV per cell
electronic total energy	-5.8101	eV/atom
spin magnetization	6.27	μB/f.u.



No. 6
A relaxed CePrPtI crystal. Source: Alexandria via LeMat-Bulk, functional PBE.

a = 4.261 Å, b = 4.261 Å, c = 24.440 Å
α = 90.00°, β = 90.00°, γ = 120.00°
Fractional positions:
Ce: 0.000 0.000 0.000
Ce: 0.333 0.667 0.667
Ce: 0.667 0.333 0.333
Pr: 0.000 0.000 0.792
Pr: 0.333 0.667 0.459
Pr: 0.667 0.333 0.126
Pt: 0.000 0.000 0.393
Pt: 0.333 0.667 0.060
Pt: 0.667 0.333 0.726
I: 0.000 0.000 0.565
I: 0.333 0.667 0.232
I: 0.667 0.333 0.898

## Properties
raw formation energy	-4.16	eV/f.u.
Fermi-level density of states	28.65	states/eV per cell
electronic total energy	-5.6153	eV/atom
spin magnetization	1.17	μB/f.u.



The highest spin magnetization belongs to which entry?
RbPuSn2



The highest electronic total energy belongs to which entry?
NaTeS2



What is the spin magnetization in the fourth record?
0.00 μB/f.u.



What is the spin magnetization in the sixth record?
1.17 μB/f.u.